Record 1
Density functional theory data (GGA-PBE) for Nb4W3 after structural relaxation.

Computed properties:
Space-group type ... C2/m, No. 12
Excess energy over the best structure of this formula in the dataset ... 0.0000 eV per atom

a = 4.594 Å, b = 4.596 Å, c = 7.078 Å
α = 108.80°, β = 90.00°, γ = 119.99°
Atoms (fractional coordinates):
W (0.358, 0.715, 0.072)
W (0.642, 0.285, 0.928)
Nb (0.785, 0.570, 0.355)
W (0.500, 0.000, 0.500)
Nb (0.215, 0.430, 0.645)
Nb (0.071, 0.141, 0.211)
Nb (0.929, 0.859, 0.789)

---

Record 2
Density functional theory data (GGA-PBE) for ZnAgSn3 after structural relaxation.

Computed properties:
Space-group type ... Pm-3m, No. 221
Excess energy over the best structure of this formula in the dataset ... 0.0596 eV per atom

a = 5.371 Å, b = 5.371 Å, c = 5.371 Å
α = 90.00°, β = 90.00°, γ = 90.00°
Atoms (fractional coordinates):
Ag (0.000, 0.000, 0.000)
Zn (0.500, 0.500, 0.500)
Sn (0.000, 0.500, 0.000)
Sn (0.500, 0.000, 0.000)
Sn (0.000, 0.000, 0.500)

---

Record 3
Density functional theory data (GGA-PBE) for Ba3Cu2TcO8 after structural relaxation.

Computed properties:
Space-group type ... P-3m1, No. 164
Formation energy without anion corrections ... -1.666 eV/atom

a = 5.745 Å, b = 5.745 Å, c = 7.643 Å
α = 90.00°, β = 90.00°, γ = 120.00°
Atoms (fractional coordinates):
O (0.843, 0.685, 0.649)
O (0.685, 0.843, 0.351)
O (0.157, 0.843, 0.351)
Ba (0.000, 0.000, 0.000)
O (0.315, 0.157, 0.649)
Cu (0.667, 0.333, 0.783)
O (0.843, 0.157, 0.649)
Tc (0.000, 0.000, 0.500)
O (0.157, 0.315, 0.351)
O (0.333, 0.667, 0.980)
O (0.667, 0.333, 0.020)
Cu (0.333, 0.667, 0.217)
Ba (0.333, 0.667, 0.658)
Ba (0.667, 0.333, 0.342)

---

Record 4
Density functional theory data (GGA-PBE) for Nd2Zn6Ru after structural relaxation.

Computed properties:
Space-group type ... C2/m, No. 12
E ... -3.2194 eV/atom

a = 6.048 Å, b = 5.733 Å, c = 5.788 Å
α = 86.23°, β = 90.00°, γ = 121.84°
Atoms (fractional coordinates):
Zn (0.842, 0.683, 0.663)
Nd (0.324, 0.648, 0.847)
Nd (0.676, 0.352, 0.153)
Zn (0.367, 0.180, 0.671)
Zn (0.187, 0.820, 0.329)
Zn (0.633, 0.820, 0.329)
Ru (0.000, 0.000, 0.000)
Zn (0.813, 0.180, 0.671)
Zn (0.158, 0.317, 0.337)

---

Record 5
Density functional theory data (GGA-PBE) for Sc2MnAs after structural relaxation.

Computed properties:
Space-group type ... P4mm, No. 99
E ... -6.8794 eV/atom

a = 3.111 Å, b = 3.111 Å, c = 7.427 Å
α = 90.00°, β = 90.00°, γ = 90.00°
Atoms (fractional coordinates):
Sc (0.000, 0.000, 0.941)
Mn (0.500, 0.500, 0.704)
As (0.000, 0.000, 0.555)
Sc (0.500, 0.500, 0.301)

---

Record 6
Density functional theory data (GGA-PBE) for LiLaEuY after structural relaxation.

Computed properties:
Space-group type ... F-43m, No. 216
E ... -5.6927 eV/atom

a = 5.692 Å, b = 5.692 Å, c = 5.692 Å
α = 60.00°, β = 60.00°, γ = 60.00°
Atoms (fractional coordinates):
La (0.250, 0.250, 0.250)
Eu (0.000, 0.000, 0.000)
Li (0.500, 0.500, 0.500)
Y (0.750, 0.750, 0.750)

---

Record 7
Density functional theory data (GGA-PBE) for HgIrPt after structural relaxation.

Computed properties:
Space-group type ... Fmm2, No. 42
Excess energy over the best structure of this formula in the dataset ... 0.0541 eV per atom

a = 7.668 Å, b = 7.386 Å, c = 2.872 Å
α = 84.59°, β = 73.52°, γ = 21.89°
Atoms (fractional coordinates):
Ir (0.671, 0.671, 0.329)
Pt (0.328, 0.328, 0.672)
Hg (0.001, 0.001, 0.999)

---

Record 8
Density functional theory data (GGA-PBE) for SrBeTc2 after structural relaxation.

Computed properties:
Space-group type ... C2, No. 5
E ... -5.8335 eV/atom

a = 4.735 Å, b = 4.735 Å, c = 5.255 Å
α = 123.79°, β = 123.79°, γ = 88.83°
Atoms (fractional coordinates):
Sr (0.748, 0.252, 0.500)
Tc (0.248, 0.752, 0.500)
Tc (0.941, 0.059, 0.000)
Be (0.563, 0.437, 0.000)